Entry 1:
## RbMo2P3O13 (PBE+U)

Data for a relaxed structure of RbMo2P3O13.

## Properties
energy: -539.13 eV per cell

Lattice parameters (Å, degrees): 6.4960 19.8045 9.9098 90.00 107.01 90.00
With the nearest neighbours (Å) after each atom.
Space group P2_1 (No. 4)
Inequivalent atoms, fractional coordinates:
Rb: 0.2165 0.0000 0.1240  4 O 2.79-3.06
Rb: 0.2239 0.1826 0.5154  8 O 3.02-3.32
Mo: 0.0628 0.8013 0.8912  1 O 1.71
Mo: 0.1407 0.5136 0.5723  1 O 1.71
Mo: 0.3629 0.8397 0.4457  1 O 1.71
Mo: 0.4408 0.5576 0.1268  1 O 1.70
P: 0.0118 0.0896 0.7833  4 O 1.51-1.62
P: 0.0951 0.3547 0.4600  4 O 1.53-1.55
P: 0.2443 0.7119 0.2088  4 O 1.51-1.63
P: 0.2602 0.6456 0.8049  4 O 1.52-1.62
P: 0.4028 0.0017 0.5287  4 O 1.54-1.55
P: 0.4817 0.2680 0.1992  4 O 1.52-1.63
O: 0.0312 0.6699 0.2133  2 P 1.62-1.63
O: 0.0375 0.5701 0.3707  1 P 1.51
O: 0.0477 0.3181 0.3178  1 P 1.53
O: 0.0601 0.8270 0.4613  1 P 1.54
O: 0.0662 0.8833 0.9447  1 Mo 1.71
O: 0.0781 0.4319 0.4387  1 P 1.54
O: 0.0934 0.6947 0.8277  1 P 1.52
O: 0.1225 0.5542 0.1329  1 P 1.54
O: 0.1665 0.7644 0.0948  1 P 1.51
O: 0.1761 0.6108 0.6600  1 P 1.54
O: 0.1770 0.0231 0.4334  1 P 1.55
O: 0.2084 0.4700 0.7275  1 Mo 1.71
O: 0.2442 0.2737 0.1142  1 P 1.53
O: 0.2494 0.0825 0.8701  1 P 1.54
O: 0.2868 0.8841 0.2910  1 Mo 1.71
O: 0.3211 0.3321 0.5507  1 P 1.55
O: 0.3319 0.7436 0.3559  1 P 1.54
O: 0.3383 0.5921 0.9196  1 P 1.53
O: 0.3773 0.8020 0.8804  1 P 1.53
O: 0.4078 0.6619 0.1835  1 P 1.52
O: 0.4176 0.9266 0.5691  1 P 1.54
O: 0.4456 0.4754 0.0773  1 Mo 1.70
O: 0.4472 0.5220 0.5605  1 P 1.55
O: 0.4552 0.0464 0.6614  1 P 1.54
O: 0.4695 0.7879 0.6463  1 P 1.52
O: 0.4733 0.6868 0.8009  2 P 1.62-1.63



Entry 2:
## Rb2TeMo2P2O14 (PBE+U)

Data for a relaxed structure of Rb2TeMo2P2O14.

## Properties
energy: -553.46 eV per cell

Lattice parameters (Å, degrees): 12.6772 9.2450 11.5057 90.00 90.00 90.00
With the nearest neighbours (Å) after each atom.
Space group Pbcn (No. 60)
Inequivalent atoms, fractional coordinates:
Rb: 0.1830 0.0314 0.2169  9 O 2.92-3.26
Te: 0.0000 0.3712 0.7500  2 O 1.89
Mo: 0.1211 0.2480 0.4810  2 O 1.74
P: 0.1321 0.3651 0.0028  4 O 1.54-1.57
O: 0.0324 0.2908 0.0536  1 P 1.55
O: 0.0727 0.2355 0.6571  1 Te 1.89
O: 0.1109 0.0632 0.4567  1 Mo 1.74
O: 0.1316 0.3576 0.8676  1 P 1.56
O: 0.1374 0.4790 0.5486  1 P 1.54
O: 0.1621 0.3123 0.3460  1 Mo 1.74
O: 0.2286 0.2757 0.0480  1 P 1.57